Record 1
# InAsSe2Br, relaxed, DFT PBE
# * E above lowest polymorph: 0 meV/atom
# * density of states at the Fermi level: 4.21 states/eV/f.u.
# * final energy: -15.96 eV for the cell shown
# * ΔE_f (raw): 0.01 eV per atom
data_InAsSe2Br
_cell_length_a 5.097
_cell_length_b 5.097
_cell_length_c 5.496
_cell_angle_alpha 90.00
_cell_angle_beta 90.00
_cell_angle_gamma 90.00
_symmetry_space_group_name_H-M 'P 4/m m m'
_symmetry_Int_Tables_number 123
_symmetry_space_group_name_Hall '-P 4 2'
loop_
_atom_site_label
_atom_site_type_symbol
_atom_site_fract_x
_atom_site_fract_y
_atom_site_fract_z
In1 In 0.000 0.000 0.000
As1 As 0.500 0.500 0.500
Se1 Se 0.000 0.500 0.500
Br1 Br 0.500 0.500 0.000

=====

Record 2
# RbZr2Fe, relaxed, DFT PBE
# * E above lowest polymorph: 137 meV/atom
# * density of states at the Fermi level: 6.88 states/eV/f.u.
# * final energy: -86.95 eV for the cell shown
# * calculated formation energy: 1.197 eV per atom
data_RbZr2Fe
_cell_length_a 6.962
_cell_length_b 6.962
_cell_length_c 6.962
_cell_angle_alpha 90.00
_cell_angle_beta 90.00
_cell_angle_gamma 90.00
_symmetry_space_group_name_H-M 'F m -3 m'
_symmetry_Int_Tables_number 225
_symmetry_space_group_name_Hall '-F 4 2 3'
loop_
_atom_site_label
_atom_site_type_symbol
_atom_site_fract_x
_atom_site_fract_y
_atom_site_fract_z
Rb1 Rb 0.000 0.000 0.000
Zr1 Zr 0.250 0.250 0.250
Fe1 Fe 0.000 0.000 0.500

=====

Record 3
# Nd7Sm12Y, relaxed, DFT PBE
# * density of states at the Fermi level: 28.44 states/eV/f.u.
# * final energy: -168.82 eV for the cell shown
# * calculated formation energy: 0.603 eV per atom
data_Nd7Sm12Y
_cell_length_a 11.544
_cell_length_b 11.544
_cell_length_c 11.544
_cell_angle_alpha 90.00
_cell_angle_beta 90.00
_cell_angle_gamma 90.00
_symmetry_space_group_name_H-M 'I m -3'
_symmetry_Int_Tables_number 204
_symmetry_space_group_name_Hall '-I 2 2 3'
loop_
_atom_site_label
_atom_site_type_symbol
_atom_site_fract_x
_atom_site_fract_y
_atom_site_fract_z
Nd1 Nd 0.000 0.000 0.500
Nd2 Nd 0.250 0.250 0.250
Sm1 Sm 0.000 0.247 0.248
Y1 Y 0.000 0.000 0.000

=====

Record 4
# Hg2PtRh, relaxed, DFT PBE
# * density of states at the Fermi level: 1.78 states/eV/f.u.
# * final energy: -13.59 eV for the cell shown
# * calculated formation energy: 0.102 eV per atom
data_Hg2PtRh
_cell_length_a 4.377
_cell_length_b 4.377
_cell_length_c 3.705
_cell_angle_alpha 90.00
_cell_angle_beta 90.00
_cell_angle_gamma 90.00
_symmetry_space_group_name_H-M 'P 4/m m m'
_symmetry_Int_Tables_number 123
_symmetry_space_group_name_Hall '-P 4 2'
loop_
_atom_site_label
_atom_site_type_symbol
_atom_site_fract_x
_atom_site_fract_y
_atom_site_fract_z
Hg1 Hg 0.000 0.500 0.000
Pt1 Pt 0.000 0.000 0.500
Rh1 Rh 0.500 0.500 0.500

=====

- The highest density of states at the Fermi level belongs to which entry?
  Nd7Sm12Y

=====

- final energy of number 3 (Nd7Sm12Y)?
  -168.82 eV for the cell shown